Here is a relaxed structure of Cs2ZrAl from Alexandria via LeMat-Bulk. Energies are from PBE.

Geometry as CIF:
```
data_Cs2ZrAl
_chemical_formula_sum 'Cs8 Zr4 Al4'
_cell_length_a 8.814
_cell_length_b 8.814
_cell_length_c 8.814
_cell_angle_alpha 90.00
_cell_angle_beta 90.00
_cell_angle_gamma 90.00
_symmetry_space_group_name_H-M 'P 1'
_symmetry_Int_Tables_number 1
loop_
_symmetry_equiv_pos_as_xyz
'x,y,z'
loop_
_atom_site_label
_atom_site_type_symbol
_atom_site_fract_x
_atom_site_fract_y
_atom_site_fract_z
_atom_site_occupancy
Cs1 Cs 0.250 0.250 0.250 1
Cs2 Cs 0.250 0.250 0.750 1
Cs3 Cs 0.250 0.750 0.250 1
Cs4 Cs 0.250 0.750 0.750 1
Cs5 Cs 0.750 0.250 0.250 1
Cs6 Cs 0.750 0.250 0.750 1
Cs7 Cs 0.750 0.750 0.250 1
Cs8 Cs 0.750 0.750 0.750 1
Zr1 Zr 0.000 0.000 0.000 1
Zr2 Zr 0.000 0.500 0.500 1
Zr3 Zr 0.500 0.000 0.500 1
Zr4 Zr 0.500 0.500 0.000 1
Al1 Al 0.000 0.000 0.500 1
Al2 Al 0.000 0.500 0.000 1
Al3 Al 0.500 0.000 0.000 1
Al4 Al 0.500 0.500 0.500 1
```

DOS at the Fermi energy in states/eV per atom: 4.24
Energy relative to the elements in kcal/mol of atoms: 31.01
Space-group type: Fm-3m
E_tot in eV per atom: -2.15